[1]
! Pr5HPb4 (PBE-GGA, relaxed); values from VASP
&SYSTEM
  ibrav = 0, nat = 10, ntyp = 3
/
ATOMIC_SPECIES
Pr 140.91 Pr.upf
H 1.01 H.upf
Pb 207.20 Pb.upf
CELL_PARAMETERS angstrom
-1.632 -4.557 4.310
3.195 -6.992 -1.309
4.755 -0.483 6.162
ATOMIC_POSITIONS angstrom
Pr 3.612 -7.177 8.386
Pr 5.064 -7.270 3.965
Pr 1.258 -4.750 5.187
Pr 2.710 -4.843 0.766
Pr -0.726 -2.026 1.916
H -0.107 -0.300 0.283
Pb 4.355 -4.997 6.125
Pb 4.103 -9.484 6.158
Pb 2.210 -2.560 3.016
Pb 1.958 -7.047 3.050
! Calculated total energy, eV/atom: -4.57

---

[2]
! Be2CoRu (PBE-GGA, relaxed); values from VASP
&SYSTEM
  ibrav = 0, nat = 4, ntyp = 3
/
ATOMIC_SPECIES
Ru 101.07 Ru.upf
Co 58.93 Co.upf
Be 9.01 Be.upf
CELL_PARAMETERS angstrom
4.106 -1.303 -2.576
-0.948 4.202 2.576
-2.812 -0.107 4.157
ATOMIC_POSITIONS angstrom
Ru -1.880 2.048 3.367
Co 0.000 0.000 0.000
Be -0.899 0.979 1.609
Be -2.861 3.116 5.124
! Calculated total energy, eV/atom: -5.41
! Formation enthalpy at 0 K, eV per formula unit: 2.193